(1)
Be2BiIr2 | PBE | optimized geometry

Calculated values
Relative energy among the computed polymorphs ... 44 meV per atom
DFT formation energy ... 6.90 kJ per mole of atoms

a = 7.123 Å, b = 7.123 Å, c = 2.908 Å
α = 90.00°, β = 90.00°, γ = 90.00°
Fractional coordinates of all 10 atoms:
1 Ir 0.144 0.356 0.000
2 Ir 0.644 0.144 0.000
3 Ir 0.856 0.644 0.000
4 Ir 0.356 0.856 0.000
5 Bi 0.000 0.000 0.000
6 Bi 0.500 0.500 0.000
7 Be 0.867 0.367 0.500
8 Be 0.367 0.133 0.500
9 Be 0.633 0.867 0.500
10 Be 0.133 0.633 0.500

(2)
LaSnRhO2 | PBE | optimized geometry

Calculated values
Raw formation energy ... -10.61 kcal/mol of atoms

a = 4.349 Å, b = 4.940 Å, c = 4.349 Å
α = 90.00°, β = 90.00°, γ = 90.00°
Last column: magnetic moment on the atom in μB.
Fractional coordinates of all 5 atoms:
1 O 0.500 0.000 0.000  0.11
2 O 0.000 0.000 0.500  0.04
3 Sn 0.000 0.500 0.000  0.00
4 La 0.500 0.500 0.500  0.01
5 Rh 0.000 0.000 0.000  0.37

(3)
CaScB | PBE | optimized geometry

Calculated values
Relative energy among the computed polymorphs ... 308 meV per atom
DFT formation energy ... 7.08 kJ per mole of atoms

a = 4.362 Å, b = 4.362 Å, c = 7.111 Å
α = 90.00°, β = 90.00°, γ = 90.00°
Fractional coordinates of all 6 atoms:
1 B 0.500 0.500 0.500
2 B 0.000 0.000 0.500
3 Sc 0.000 0.500 0.373
4 Sc 0.500 0.000 0.627
5 Ca 0.000 0.500 0.807
6 Ca 0.500 0.000 0.193

(4)
RbSm2Pb3Se6 | PBE | optimized geometry

Calculated values
Raw formation energy ... -25.07 kcal/mol of atoms

a = 4.215 Å, b = 9.487 Å, c = 9.692 Å
α = 100.75°, β = 102.56°, γ = 90.00°
Fractional coordinates of all 12 atoms:
1 Rb 0.500 0.000 0.000
2 Pb 0.161 0.830 0.321
3 Pb 0.500 0.500 0.000
4 Pb 0.839 0.170 0.679
5 Se 0.317 0.875 0.634
6 Se 0.683 0.125 0.366
7 Se 0.331 0.441 0.662
8 Se 0.669 0.559 0.338
9 Se 0.015 0.277 0.030
10 Se 0.985 0.723 0.970
11 Sm 0.169 0.336 0.337
12 Sm 0.831 0.664 0.663

Total moment? In order: 0.0; 0.6; 0.0; 0.0 Bohr magnetons per cell.